## LaNdPCl (PBE)

Data for a relaxed structure of LaNdPCl.

Geometry as POSCAR:
```
LaNdPCl
1.0
-0.639 -3.892 -1.095
3.762 1.600 -0.228
0.514 -0.109 7.727
Cl La Nd P
1 1 1 1
Cartesian
0.996 -3.180 1.623 Cl
0.566 -1.762 4.484 La
3.560 1.081 0.288 Nd
2.330 -0.412 6.305 P
```

Output
Crystal system: trigonal
Formation energy from raw total energies, eV/atom: -1.631
DFT total energy, eV/atom: -5.869
Space-group type: No. 160